one.
# NaSnRu3

NaSnRu3 after structural relaxation (PBE, the Alexandria database).

a = 4.979 Å, b = 4.979 Å, c = 4.979 Å
α = 90.00°, β = 90.00°, γ = 90.00°
Each line ends with the local moment (μB).
Positions (direct):
Ru (0.000, 0.000, 0.500)  1.82
Sn (0.000, 0.000, 0.000)  -0.08
Ru (0.000, 0.500, 0.000)  1.58
Ru (0.500, 0.000, 0.000)  1.27
Na (0.500, 0.500, 0.500)  -0.01

Output
SG = Pm-3m (221)

=====

two.
# NaSnRu3

NaSnRu3 after structural relaxation (PBE, the Alexandria database).

a = 4.538 Å, b = 4.538 Å, c = 4.538 Å
α = 90.00°, β = 90.00°, γ = 90.00°
Each line ends with the local moment (μB).
Positions (direct):
Na (0.000, 0.000, 0.000)  0.00
Ru (0.500, 0.000, 0.000)  0.83
Ru (0.000, 0.000, 0.500)  1.17
Ru (0.000, 0.500, 0.000)  1.05
Sn (0.500, 0.500, 0.500)  -0.03

Output
SG = Pm-3m (221)

=====

Stability, descending: one, two

=====

one.
# NaSn2Ru2

NaSn2Ru2 after structural relaxation (PBE, the Alexandria database).

a = 7.738 Å, b = 7.738 Å, c = 3.115 Å
α = 90.00°, β = 90.00°, γ = 90.00°
Positions (direct):
Sn (0.845, 0.345, 0.500)
Sn (0.345, 0.155, 0.500)
Na (0.000, 0.000, 0.000)
Sn (0.155, 0.655, 0.500)
Na (0.500, 0.500, 0.000)
Ru (0.639, 0.139, 0.000)
Sn (0.655, 0.845, 0.500)
Ru (0.139, 0.361, 0.000)
Ru (0.861, 0.639, 0.000)
Ru (0.361, 0.861, 0.000)

Output
SG = P4/mbm (127)

=====

two.
# NaSn2Ru2

NaSn2Ru2 after structural relaxation (PBE, the Alexandria database).

a = 4.749 Å, b = 4.749 Å, c = 5.902 Å
α = 66.28°, β = 66.28°, γ = 90.00°
Positions (direct):
Sn (0.250, 0.750, 0.500)
Na (0.000, 0.000, 0.000)
Ru (0.381, 0.381, 0.239)
Sn (0.750, 0.250, 0.500)
Ru (0.619, 0.619, 0.761)

Output
SG = I4/mmm (139)

=====

Stability, descending: one, two

=====

one.
# NaSr2Ru

NaSr2Ru after structural relaxation (PBE, the Alexandria database).

a = 8.859 Å, b = 8.859 Å, c = 7.185 Å
α = 51.94°, β = 51.94°, γ = 90.00°
Positions (direct):
Sr (0.375, 0.293, 0.750)
Ru (0.750, 0.250, 0.500)
Sr (0.875, 0.957, 0.750)
Sr (0.043, 0.625, 0.250)
Na (0.250, 0.750, 0.500)
Na (0.500, 0.500, 0.000)
Sr (0.707, 0.125, 0.250)
Ru (0.000, 0.000, 0.000)

Output
SG = I-42d (122)

=====

two.
# NaSr2Ru

NaSr2Ru after structural relaxation (PBE, the Alexandria database).

a = 5.454 Å, b = 5.454 Å, c = 5.454 Å
α = 60.00°, β = 60.00°, γ = 60.00°
Positions (direct):
Ru (0.500, 0.500, 0.500)
Na (0.000, 0.000, 0.000)
Sr (0.250, 0.250, 0.250)
Sr (0.750, 0.750, 0.750)

Output
SG = Fm-3m (225)

=====

Stability, descending: two, one

=====

one.
# NaSr3Ru

NaSr3Ru after structural relaxation (PBE, the Alexandria database).

a = 5.886 Å, b = 5.886 Å, c = 5.886 Å
α = 90.00°, β = 90.00°, γ = 90.00°
Positions (direct):
Ru (0.000, 0.000, 0.000)
Sr (0.500, 0.000, 0.000)
Sr (0.000, 0.000, 0.500)
Sr (0.000, 0.500, 0.000)
Na (0.500, 0.500, 0.500)

Output
SG = Pm-3m (221)

=====

two.
# NaSr3Ru

NaSr3Ru after structural relaxation (PBE, the Alexandria database).

a = 6.080 Å, b = 6.080 Å, c = 6.080 Å
α = 90.00°, β = 90.00°, γ = 90.00°
Each line ends with the local moment (μB).
Positions (direct):
Sr (0.500, 0.000, 0.000)  -0.04
Ru (0.500, 0.500, 0.500)  2.10
Sr (0.000, 0.000, 0.500)  -0.04
Na (0.000, 0.000, 0.000)  -0.01
Sr (0.000, 0.500, 0.000)  -0.04

Output
SG = Pm-3m (221)

=====

Stability, descending: one, two